Entry 1:
DFT (PBE) results for crystalline BaHfAg2Ru at its relaxed geometry.

D(E_F) ... 5.73 states/eV per cell
E_tot ... -18.43 eV/cell
Formation energy from the elements ... 1.68 eV/atom
Magnetization ... 2.01 μB per cell

Cell lengths 5.1885, 5.1885, 6.0715 Å; angles 90.00, 90.00, 90.00 degrees
Space group P4/mmm (No. 123)
Inequivalent atoms, fractional coordinates:
Ba  0.0000  0.0000  0.0000 x1
Hf  0.0000  0.0000  0.5000 x1
Ag  0.0000  0.5000  0.5000 x2
Ru  0.5000  0.5000  0.0000 x1


Entry 2:
DFT (PBE) results for crystalline Ba2Pu3CuO12 at its relaxed geometry.

D(E_F) ... 31.52 states/eV per cell
Energy relative to the elements, uncorrected ... -2.370 eV per atom
E_tot ... -459.30 eV/cell
Magnetization ... 14.95 μB per cell

Cell lengths 7.9366, 7.9366, 17.1061 Å; angles 90.00, 90.00, 120.00 degrees
Space group R-3m (No. 166, hexagonal axes)
Inequivalent atoms, fractional coordinates:
Ba  0.0000  0.0000  0.1642 x6
Pu  0.0000  0.5000  0.0000 x9
Cu  0.0000  0.0000  0.5000 x3
O  0.0750  0.5375  0.1066 x18
O  0.0834  0.5417  0.3720 x18


Entry 3:
DFT (PBE) results for crystalline TbHfRuRh at its relaxed geometry.

D(E_F) ... 8.33 states/eV per cell
E_tot ... -135.80 eV/cell
Formation energy from the elements ... -0.68 eV/atom
Magnetization ... 0.00 μB per cell

Cell lengths 6.6741, 6.6741, 6.6741 Å; angles 90.00, 90.00, 90.00 degrees
Space group F-43m (No. 216)
Inequivalent atoms, fractional coordinates:
Tb  0.0000  0.0000  0.0000 x4
Hf  0.0000  0.0000  0.5000 x4
Ru  0.2500  0.2500  0.2500 x4
Rh  0.2500  0.2500  0.7500 x4


What did the first record say?
DFT (PBE) results for crystalline BaHfAg2Ru at its relaxed geometry.

D(E_F) ... 5.73 states/eV per cell
E_tot ... -18.43 eV/cell
Formation energy from the elements ... 1.68 eV/atom
Magnetization ... 2.01 μB per cell

Cell lengths 5.1885, 5.1885, 6.0715 Å; angles 90.00, 90.00, 90.00 degrees
Space group P4/mmm (No. 123)
Inequivalent atoms, fractional coordinates:
Ba  0.0000  0.0000  0.0000 x1
Hf  0.0000  0.0000  0.5000 x1
Ag  0.0000  0.5000  0.5000 x2
Ru  0.5000  0.5000  0.0000 x1


- Look up the magnetization of the first one.
  2.01 μB per cell


- What is the magnetization in the second record?
  14.95 μB per cell